VASP calculation (PBE-GGA) on an optimized crystal structure of PuMgPt.

Summary:
Formation energy from the elements in eV/atom: -0.308
ρ in g cm⁻³: 9.98
Energy in eV for the cell shown: -45.8
Total magnetization in μB/f.u.: 6.0
Volume in A^3/atom: 25.70

Cell lengths 4.659, 4.659, 8.203 Å; angles 90.00, 90.00, 120.00 degrees
Element x y z (fractional)
1 Pu 0.000 0.000 0.232
2 Pu 0.000 0.000 0.768
3 Mg 0.333 0.667 0.000
4 Mg 0.667 0.333 0.500
5 Pt 0.333 0.667 0.340
6 Pt 0.333 0.667 0.660

VASP calculation (PBE-GGA) on an optimized crystal structure of Nd4AsIrCl2.

Summary:
ρ in g cm⁻³: 6.86
Energy in eV for the cell shown: -46.8
Total magnetization in μB/f.u.: 0.0
E_form (uncorrected) in meV per atom: -1321
Volume in A^3/atom: 27.70

Cell lengths 7.461, 4.120, 7.585 Å; angles 90.00, 108.11, 90.00 degrees
Element x y z (fractional)
1 Nd 0.210 0.000 0.220
2 Nd 0.221 0.500 0.750
3 Nd 0.779 0.500 0.250
4 Nd 0.790 0.000 0.780
5 As 0.000 0.000 0.500
6 Ir 0.000 0.500 0.000
7 Cl 0.500 0.000 0.000
8 Cl 0.500 0.500 0.500

VASP calculation (PBE-GGA) on an optimized crystal structure of SrNiSn.

Summary:
Formation energy from the elements in eV/atom: -0.381
ρ in g cm⁻³: 5.65
Energy in eV for the cell shown: -12.6
Total magnetization in μB/f.u.: 0.0
Volume in A^3/atom: 25.97

Cell lengths 4.449, 4.449, 4.545 Å; angles 90.00, 90.00, 120.00 degrees
Element x y z (fractional)
1 Sr 0.000 0.000 0.000
2 Ni 0.333 0.667 0.500
3 Sn 0.667 0.333 0.500

VASP calculation (PBE-GGA) on an optimized crystal structure of BiSF2.

Summary:
ρ in g cm⁻³: 6.32
Energy in eV for the cell shown: -43.7
Offset from the most stable computed form in meV per atom: 636.5
Total magnetization in μB/f.u.: 0.0
E_form (uncorrected) in meV per atom: -704
Volume in A^3/atom: 18.32

Cell lengths 3.252, 3.252, 24.013 Å; angles 90.00, 90.00, 120.00 degrees
Element x y z (fractional)
1 Bi 0.000 0.000 0.000
2 Bi 0.333 0.667 0.667
3 Bi 0.667 0.333 0.333
4 S 0.000 0.000 0.500
5 S 0.333 0.667 0.167
6 S 0.667 0.333 0.833
7 F 0.000 0.000 0.420
8 F 0.000 0.000 0.580
9 F 0.333 0.667 0.087
10 F 0.333 0.667 0.246
11 F 0.667 0.333 0.754
12 F 0.667 0.333 0.913

VASP calculation (PBE-GGA) on an optimized crystal structure of Al2TlAsPd.

Summary:
Formation energy from the elements in eV/atom: 0.087
ρ in g cm⁻³: 6.19
Energy in eV for the cell shown: -19.3
Total magnetization in μB/f.u.: 0.0
Volume in A^3/atom: 23.59

Cell lengths 4.784, 4.784, 5.154 Å; angles 90.00, 90.00, 90.00 degrees
Element x y z (fractional)
1 Al 0.000 0.500 0.000
2 Al 0.500 0.000 0.000
3 Tl 0.000 0.000 0.500
4 As 0.500 0.500 0.500
5 Pd 0.500 0.500 0.000

VASP calculation (PBE-GGA) on an optimized crystal structure of Tb4NdTh5.

Summary:
Formation energy from the elements in eV/atom: 0.038
ρ in g cm⁻³: 9.95
Energy in eV for the cell shown: -60.0
Total magnetization in μB/f.u.: 0.0
Volume in A^3/atom: 32.37

Cell lengths 12.892, 12.892, 7.134 Å; angles 98.29, 98.29, 16.02 degrees
Element x y z (fractional)
1 Tb 0.101 0.101 0.309
2 Tb 0.299 0.299 0.898
3 Tb 0.701 0.701 0.102
4 Tb 0.899 0.899 0.691
5 Nd 0.500 0.500 0.000
6 Th 0.101 0.101 0.791
7 Th 0.300 0.300 0.399
8 Th 0.500 0.500 0.500
9 Th 0.700 0.700 0.601
10 Th 0.899 0.899 0.209

VASP calculation (PBE-GGA) on an optimized crystal structure of SrTlIr2.

Summary:
Formation energy from the elements in eV/atom: 0.459
ρ in g cm⁻³: 13.77
Energy in eV for the cell shown: -39.9
Offset from the most stable computed form in meV per atom: 384.5
Total magnetization in μB/f.u.: 0.0
Volume in A^3/atom: 20.39

Cell lengths 4.222, 4.222, 9.154 Å; angles 90.00, 90.00, 90.00 degrees
Element x y z (fractional)
1 Sr 0.000 0.000 0.000
2 Sr 0.500 0.500 0.500
3 Tl 0.000 0.500 0.750
4 Tl 0.500 0.000 0.250
5 Ir 0.000 0.000 0.500
6 Ir 0.000 0.500 0.250
7 Ir 0.500 0.000 0.750
8 Ir 0.500 0.500 0.000

VASP calculation (PBE-GGA) on an optimized crystal structure of LiHf2CuTc.

Summary:
Formation energy from the elements in eV/atom: 0.758
ρ in g cm⁻³: 7.93
Energy in eV for the cell shown: -32.5
Total magnetization in μB/f.u.: 0.0
Volume in A^3/atom: 22.00

Cell lengths 4.870, 4.870, 4.639 Å; angles 90.00, 90.00, 90.00 degrees
Element x y z (fractional)
1 Li 0.000 0.000 0.000
2 Hf 0.000 0.500 0.500
3 Hf 0.500 0.000 0.500
4 Cu 0.500 0.500 0.000
5 Tc 0.000 0.000 0.500